No. 1
This record from Alexandria describes a relaxed structure of Mg2Si3. The functional is PBE-GGA.

Cell: 3.9064 5.9005 17.0849 Å, 85.01 83.64 81.07°
Closest atoms and distances in Å follow each position.
Space group P-1 (No. 2)
One atom of each set of equivalent atoms:
Mg 0.0301 0.2182 0.0345 x2  8 Si 2.76-3.09, 2 Mg 2.98-3.03
Mg 0.1379 0.5649 0.8089 x2  6 Si 2.72-3.03, 1 Mg 3.03
Mg 0.2194 0.9572 0.6593 x2  5 Si 2.70-2.81
Mg 0.2279 0.2686 0.4672 x2  5 Si 2.72-2.95
Si 0.0303 0.9500 0.1882 x2  3 Si 2.43-2.45
Si 0.2154 0.6477 0.2891 x2  4 Si 2.39-2.53
Si 0.2720 0.5034 0.6407 x2  3 Si 2.39-2.46
Si 0.3047 0.7924 0.4197 x2  2 Si 2.43-2.53
Si 0.4163 0.1076 0.8937 x2  3 Si 2.43-2.44
Si 0.4392 0.5278 0.0723 x2  2 Si 2.44-2.50, 1 Mg 2.72

Summary:
Energy above the lowest structure with this stoichiometry ... 0.48 eV/f.u.
Volume ... 385.7 Å³ per cell
Formation energy without anion corrections ... 0.13 eV per atom

No. 2
This record from Alexandria describes a relaxed structure of InSeCl3. The functional is PBE-GGA.

Cell: 5.2212 5.2212 5.2212 Å, 90.00 90.00 90.00°
Closest atoms and distances in Å follow each position.
Space group Pm-3m (No. 221)
One atom of each set of equivalent atoms:
In 0.0000 0.0000 0.0000 x1  12 Cl 3.69
Se 0.5000 0.5000 0.5000 x1  6 Cl 2.61
Cl 0.0000 0.5000 0.5000 x3  2 Se 2.61

Summary:
Energy above the lowest structure with this stoichiometry ... 0.00 eV/f.u.
Volume ... 142.3 Å³ per cell
Formation energy without anion corrections ... -0.35 eV per atom